Compound: HfMgRe3
Source: the Alexandria database
Functional: PBE
Structure: relaxed

Cell: 4.505 4.505 4.505 Å, 90.00 90.00 90.00°
Atoms (fractional coordinates):
Re (0.000, 0.500, 0.000)
Re (0.000, 0.000, 0.500)
Re (0.500, 0.000, 0.000)
Mg (0.000, 0.000, 0.000)
Hf (0.500, 0.500, 0.500)

Computed properties:
magnetic moment = 0.00 Bohr magnetons per cell
Fermi-level density of states = 1.9652 states/eV/atom
DFT formation energy = 1.889 eV per atom

=====

Compound: Ac6DyIn2
Source: the Alexandria database
Functional: PBE
Structure: relaxed

Cell: 4.023 7.330 12.864 Å, 73.39 81.00 74.07°
Atoms (fractional coordinates):
Ac (0.672, 0.536, 0.120)
Ac (0.328, 0.464, 0.880)
Ac (0.308, 0.785, 0.600)
Ac (0.969, 0.728, 0.334)
Ac (0.031, 0.272, 0.666)
Ac (0.692, 0.215, 0.400)
Dy (0.000, 0.000, 0.000)
In (0.358, 0.108, 0.176)
In (0.642, 0.892, 0.824)

Computed properties:
magnetic moment = 0.00 Bohr magnetons per cell
Fermi-level density of states = 1.2171 states/eV/atom
DFT formation energy = -0.168 eV per atom

=====

Compound: Be2CuW
Source: the Alexandria database
Functional: PBE
Structure: relaxed

Cell: 3.767 3.767 5.044 Å, 82.60 82.60 40.27°
Atoms (fractional coordinates):
Be (0.994, 0.994, 0.046)
Be (0.506, 0.506, 0.454)
Cu (0.250, 0.250, 0.250)
W (0.750, 0.750, 0.750)

Computed properties:
magnetic moment = 0.00 Bohr magnetons per cell
Fermi-level density of states = 0.3615 states/eV/atom
DFT formation energy = 0.294 eV per atom